# NiIr2Ru | Alexandria via LeMat-Bulk | PBEsol | relaxed
data_NiIr2Ru
_chemical_formula_sum 'Ni1 Ir2 Ru1'
_cell_length_a 2.672
_cell_length_b 3.701
_cell_length_c 5.274
_cell_angle_alpha 90.00
_cell_angle_beta 90.00
_cell_angle_gamma 90.00
_symmetry_space_group_name_H-M 'P 1'
_symmetry_Int_Tables_number 1
loop_
_symmetry_equiv_pos_as_xyz
'x,y,z'
loop_
_atom_site_label
_atom_site_fract_x
_atom_site_fract_y
_atom_site_fract_z
_atom_site_occupancy
Ni1 0.000 0.000 0.000 1
Ir1 0.500 0.500 0.245 1
Ir2 0.500 0.500 0.755 1
Ru1 0.000 0.000 0.500 1
# SG = No. 47
# energy of formation from the pure elements = -0.01 eV per atom

---

# ZnSnSb2 | Alexandria via LeMat-Bulk | PBEsol | relaxed
data_ZnSnSb2
_chemical_formula_sum 'Zn2 Sn2 Sb4'
_cell_length_a 7.704
_cell_length_b 7.704
_cell_length_c 7.704
_cell_angle_alpha 131.96
_cell_angle_beta 131.96
_cell_angle_gamma 70.30
_symmetry_space_group_name_H-M 'P 1'
_symmetry_Int_Tables_number 1
loop_
_symmetry_equiv_pos_as_xyz
'x,y,z'
loop_
_atom_site_label
_atom_site_fract_x
_atom_site_fract_y
_atom_site_fract_z
_atom_site_occupancy
Zn1 0.000 0.000 0.000 1
Zn2 0.750 0.250 0.500 1
Sn1 0.250 0.750 0.500 1
Sn2 0.500 0.500 0.000 1
Sb1 0.097 0.625 0.972 1
Sb2 0.375 0.347 0.472 1
Sb3 0.653 0.125 0.028 1
Sb4 0.875 0.903 0.528 1
# SG = No. 122
# raw formation energy = -0.0139 eV/atom

---

# La2TeCl | Alexandria via LeMat-Bulk | PBEsol | relaxed
data_La2TeCl
_chemical_formula_sum 'La2 Te1 Cl1'
_cell_length_a 4.317
_cell_length_b 4.317
_cell_length_c 7.381
_cell_angle_alpha 106.94
_cell_angle_beta 106.94
_cell_angle_gamma 59.88
_symmetry_space_group_name_H-M 'P 1'
_symmetry_Int_Tables_number 1
loop_
_symmetry_equiv_pos_as_xyz
'x,y,z'
loop_
_atom_site_label
_atom_site_fract_x
_atom_site_fract_y
_atom_site_fract_z
_atom_site_occupancy
La1 0.240 0.240 0.220 1
La2 0.760 0.760 0.780 1
Te1 0.000 0.000 0.500 1
Cl1 0.500 0.500 0.000 1
# SG = No. 12
# raw formation energy = -1.6023 eV/atom

---

# ReSbIF2 | Alexandria via LeMat-Bulk | PBEsol | relaxed
data_ReSbIF2
_chemical_formula_sum 'Re1 Sb1 I1 F2'
_cell_length_a 4.176
_cell_length_b 4.176
_cell_length_c 5.489
_cell_angle_alpha 90.00
_cell_angle_beta 90.00
_cell_angle_gamma 90.00
_symmetry_space_group_name_H-M 'P 1'
_symmetry_Int_Tables_number 1
loop_
_symmetry_equiv_pos_as_xyz
'x,y,z'
loop_
_atom_site_label
_atom_site_fract_x
_atom_site_fract_y
_atom_site_fract_z
_atom_site_occupancy
Re1 0.000 0.000 0.000 1
Sb1 0.000 0.000 0.500 1
I1 0.500 0.500 0.000 1
F1 0.000 0.500 0.500 1
F2 0.500 0.000 0.500 1
# SG = No. 123
# raw formation energy = -0.4246 eV/atom

---

# HfSbPd3 | Alexandria via LeMat-Bulk | PBEsol | relaxed
data_HfSbPd3
_chemical_formula_sum 'Hf1 Sb1 Pd3'
_cell_length_a 4.813
_cell_length_b 4.813
_cell_length_c 4.813
_cell_angle_alpha 90.00
_cell_angle_beta 90.00
_cell_angle_gamma 90.00
_symmetry_space_group_name_H-M 'P 1'
_symmetry_Int_Tables_number 1
loop_
_symmetry_equiv_pos_as_xyz
'x,y,z'
loop_
_atom_site_label
_atom_site_fract_x
_atom_site_fract_y
_atom_site_fract_z
_atom_site_occupancy
Hf1 0.000 0.000 0.000 1
Sb1 0.500 0.500 0.500 1
Pd1 0.000 0.000 0.500 1
Pd2 0.000 0.500 0.000 1
Pd3 0.500 0.000 0.000 1
# SG = No. 221
# raw formation energy = 0.5289 eV/atom

---

# DyBi12O20 | Alexandria via LeMat-Bulk | PBEsol | relaxed
data_DyBi12O20
_chemical_formula_sum 'Dy1 Bi12 O20'
_cell_length_a 8.756
_cell_length_b 8.756
_cell_length_c 8.756
_cell_angle_alpha 109.47
_cell_angle_beta 109.47
_cell_angle_gamma 109.47
_symmetry_space_group_name_H-M 'P 1'
_symmetry_Int_Tables_number 1
loop_
_symmetry_equiv_pos_as_xyz
'x,y,z'
loop_
_atom_site_label
_atom_site_fract_x
_atom_site_fract_y
_atom_site_fract_z
_atom_site_occupancy
Dy1 0.000 0.000 0.000 1
Bi1 0.148 0.830 0.321 1
Bi2 0.170 0.318 0.491 1
Bi3 0.173 0.682 0.852 1
Bi4 0.318 0.491 0.170 1
Bi5 0.321 0.148 0.830 1
Bi6 0.491 0.170 0.318 1
Bi7 0.509 0.827 0.679 1
Bi8 0.679 0.509 0.827 1
Bi9 0.682 0.852 0.173 1
Bi10 0.827 0.679 0.509 1
Bi11 0.830 0.321 0.148 1
Bi12 0.852 0.173 0.682 1
O1 0.000 0.000 0.327 1
O2 0.000 0.000 0.750 1
O3 0.000 0.327 0.000 1
O4 0.000 0.750 0.000 1
O5 0.119 0.354 0.740 1
O6 0.235 0.881 0.621 1
O7 0.250 0.250 0.250 1
O8 0.260 0.614 0.379 1
O9 0.327 0.000 0.000 1
O10 0.354 0.740 0.119 1
O11 0.379 0.260 0.614 1
O12 0.386 0.646 0.765 1
O13 0.614 0.379 0.260 1
O14 0.621 0.235 0.881 1
O15 0.646 0.765 0.386 1
O16 0.673 0.673 0.673 1
O17 0.740 0.119 0.354 1
O18 0.750 0.000 0.000 1
O19 0.765 0.386 0.646 1
O20 0.881 0.621 0.235 1
# SG = No. 197
# raw formation energy = -1.3519 eV/atom

---

no.,V (A^3/atom),energy (Ry per atom)
1,13.0,-0.66188
2,31.0,-0.27583
3,28.0,-0.41593
4,19.1,-0.37681
5,22.3,-0.44528
6,15.7,-0.45881